1.
K3Ho3TeS8 | GGA-PBE | optimized geometry

* formation energy from raw total energies: -22.67 eV/f.u.
* calculated total energy: -75.9 eV per formula unit

Cell: 7.9885 7.9885 22.4423 Å, 90.00 90.00 120.00°
Space group R-3m (No. 166, hexagonal axes)
Inequivalent atoms, fractional coordinates:
K: 0.0000 0.5000 0.0000 [9 per cell]
Ho: 0.0000 0.5000 0.5000 [9 per cell]
Te: 0.0000 0.0000 0.5000 [3 per cell]
S: 0.0000 0.0000 0.2329 [6 per cell]
S: 0.0065 0.5032 0.2320 [18 per cell]

=====

2.
K2HoThS4 | GGA-PBE | optimized geometry

* formation energy from raw total energies: -14.16 eV/f.u.
* calculated total energy: -44.9 eV per formula unit

Cell: 7.0606 4.0659 7.7828 Å, 90.00 107.40 90.00°
Space group P2/m (No. 10)
Inequivalent atoms, fractional coordinates:
K: 0.0000 0.0000 0.0000 [1 per cell]
K: 0.5000 0.5000 0.0000 [1 per cell]
Ho: 0.0000 0.5000 0.5000 [1 per cell]
Th: 0.5000 0.0000 0.5000 [1 per cell]
S: 0.2307 0.0000 0.7042 [2 per cell]
S: 0.2565 0.5000 0.2894 [2 per cell]

=====

3.
K4Ho3ThS8 | GGA-PBE | optimized geometry

* formation energy from raw total energies: -29.26 eV/f.u.
* calculated total energy: -87.8 eV per formula unit

Cell: 8.1070 8.1070 22.1629 Å, 90.00 90.00 120.00°
Space group R-3m (No. 166, hexagonal axes)
Inequivalent atoms, fractional coordinates:
K: 0.0000 0.0000 0.0000 [3 per cell]
K: 0.0000 0.5000 0.0000 [9 per cell]
Ho: 0.0000 0.5000 0.5000 [9 per cell]
Th: 0.0000 0.0000 0.5000 [3 per cell]
S: 0.0000 0.0000 0.2336 [6 per cell]
S: 0.0040 0.5020 0.7649 [18 per cell]

=====

4.
K4HoTh3S8 | GGA-PBE | optimized geometry

* formation energy from raw total energies: -27.52 eV/f.u.
* calculated total energy: -91.8 eV per formula unit

Cell: 8.1644 8.1644 22.4545 Å, 90.00 90.00 120.00°
Space group R-3m (No. 166, hexagonal axes)
Inequivalent atoms, fractional coordinates:
K: 0.0000 0.0000 0.0000 [3 per cell]
K: 0.0000 0.5000 0.0000 [9 per cell]
Ho: 0.0000 0.0000 0.5000 [3 per cell]
Th: 0.0000 0.5000 0.5000 [9 per cell]
S: 0.0000 0.0000 0.2389 [6 per cell]
S: 0.0064 0.5032 0.2363 [18 per cell]

=====

5.
KHo4ThS8 | GGA-PBE | optimized geometry

* formation energy from raw total energies: -26.19 eV/f.u.
* calculated total energy: -86.0 eV per formula unit

Cell: 8.1533 8.1533 20.4303 Å, 90.00 90.00 120.00°
Space group R3m (No. 160, hexagonal axes)
Inequivalent atoms, fractional coordinates:
K: 0.0000 0.0000 0.0000 [3 per cell]
Ho: 0.0000 0.0000 0.7433 [3 per cell]
Ho: 0.0095 0.5048 0.8722 [9 per cell]
Th: 0.0000 0.0000 0.3678 [3 per cell]
S: 0.0000 0.0000 0.1389 [3 per cell]
S: 0.0000 0.0000 0.6126 [3 per cell]
S: 0.0162 0.5081 0.1251 [9 per cell]
S: 0.1870 0.3739 0.9474 [9 per cell]

=====

6.
KHoTiS4 | GGA-PBE | optimized geometry

* formation energy from raw total energies: -11.12 eV/f.u.
* calculated total energy: -41.2 eV per formula unit

Cell: 6.6084 6.7707 8.8019 Å, 90.00 107.88 90.00°
Space group P2_1/m (No. 11)
Inequivalent atoms, fractional coordinates:
K: 0.2360 0.2500 0.4404 [2 per cell]
Ho: 0.2914 0.2500 0.9534 [2 per cell]
Ti: 0.2573 0.7500 0.1679 [2 per cell]
S: 0.0449 0.7500 0.9187 [2 per cell]
S: 0.0486 0.7500 0.3259 [2 per cell]
S: 0.4988 0.0023 0.2034 [4 per cell]

=====

7.
K2HoTiS4 | GGA-PBE | optimized geometry

* formation energy from raw total energies: -11.31 eV/f.u.
* calculated total energy: -42.5 eV per formula unit

Cell: 7.1921 7.1921 9.3808 Å, 90.00 90.00 90.00°
Space group I-4 (No. 82)
Inequivalent atoms, fractional coordinates:
K: 0.0000 0.0000 0.0000 [2 per cell]
K: 0.0000 0.5000 0.2500 [2 per cell]
Ho: 0.0000 0.0000 0.5000 [2 per cell]
Ti: 0.0000 0.5000 0.7500 [2 per cell]
S: 0.1715 0.7380 0.6364 [8 per cell]

=====

8.
K2HoTlS4 | GGA-PBE | optimized geometry

* formation energy from raw total energies: -9.34 eV/f.u.
* calculated total energy: -35.0 eV per formula unit

Cell: 11.7531 12.0065 8.2654 Å, 90.00 134.63 90.00°
Space group C2/c (No. 15)
Inequivalent atoms, fractional coordinates:
K: 0.0000 0.0000 0.0000 [4 per cell]
K: 0.2500 0.2500 0.0000 [4 per cell]
Ho: 0.0000 0.5000 0.0000 [4 per cell]
Tl: 0.2500 0.2500 0.5000 [4 per cell]
S: 0.0006 0.2654 0.4708 [8 per cell]
S: 0.2182 0.4921 0.4680 [8 per cell]

=====

9.
K4Ho3US8 | GGA-PBE | optimized geometry

* formation energy from raw total energies: -27.93 eV/f.u.
* calculated total energy: -90.4 eV per formula unit

Cell: 8.0923 8.0923 22.1262 Å, 90.00 90.00 120.00°
Space group R-3m (No. 166, hexagonal axes)
Inequivalent atoms, fractional coordinates:
K: 0.0000 0.0000 0.0000 [3 per cell]
K: 0.0000 0.5000 0.0000 [9 per cell]
Ho: 0.0000 0.5000 0.5000 [9 per cell]
U: 0.0000 0.0000 0.5000 [3 per cell]
S: 0.0000 0.0000 0.2337 [6 per cell]
S: 0.0020 0.5010 0.7660 [18 per cell]

=====

10.
KHoUS4 | GGA-PBE | optimized geometry

* formation energy from raw total energies: -11.29 eV/f.u.
* calculated total energy: -44.8 eV per formula unit

Cell: 8.3316 8.4277 11.7058 Å, 90.00 90.00 90.00°
Space group Imma (No. 74)
Inequivalent atoms, fractional coordinates:
K: 0.0000 0.2500 0.1288 [4 per cell]
Ho: 0.2500 0.2500 0.7500 [4 per cell]
U: 0.0000 0.0000 0.5000 [4 per cell]
S: 0.0000 0.0383 0.7293 [8 per cell]
S: 0.2082 0.2500 0.5157 [8 per cell]

=====

11.
K2HoUS4 | GGA-PBE | optimized geometry

* formation energy from raw total energies: -12.92 eV/f.u.
* calculated total energy: -47.5 eV per formula unit

Cell: 7.0100 4.0443 7.7557 Å, 90.00 107.53 90.00°
Space group P2/m (No. 10)
Inequivalent atoms, fractional coordinates:
K: 0.0000 0.0000 0.0000 [1 per cell]
K: 0.5000 0.5000 0.0000 [1 per cell]
Ho: 0.0000 0.5000 0.5000 [1 per cell]
U: 0.5000 0.0000 0.5000 [1 per cell]
S: 0.2323 0.0000 0.7024 [2 per cell]
S: 0.2637 0.5000 0.2969 [2 per cell]

=====

12.
K3Ho2US6 | GGA-PBE | optimized geometry

* formation energy from raw total energies: -20.32 eV/f.u.
* calculated total energy: -68.8 eV per formula unit

Cell: 7.0199 12.1626 7.7373 Å, 90.00 107.60 90.00°
Space group C2/m (No. 12)
Inequivalent atoms, fractional coordinates:
K: 0.0000 0.0000 0.0000 [2 per cell]
K: 0.0000 0.3327 0.0000 [4 per cell]
Ho: 0.0000 0.1666 0.5000 [4 per cell]
U: 0.0000 0.5000 0.5000 [2 per cell]
S: 0.2316 0.0000 0.7022 [4 per cell]
S: 0.2352 0.3321 0.7019 [8 per cell]